DFT (PBE) results for a relaxed HoThSb2 crystal.

Summary:
SG: No. 166
Relative energy among the computed polymorphs (kJ/mol of formula units): 0
DFT total energy (eV/atom): -6.072

Cell and atoms, written as POSCAR:
```
HoThSb2
1.0
4.4495 0.0000 0.0000
2.2247 3.8534 0.0000
2.2247 1.2845 7.2004
Ho Th Sb
1 1 2
direct
0.0000 0.0000 0.0000 Ho
0.5000 0.5000 0.5000 Th
0.2535 0.2535 0.2395 Sb
0.7465 0.7465 0.7605 Sb
```